1.
The following is a DFT calculation (PBE) of KTaOs3 after structural relaxation.

Unit cell a=4.8991 b=4.8991 c=4.8991 alpha=90.00 beta=90.00 gamma=90.00
Closest atoms and distances in Å follow each position.
Element x y z (fractional)
1 K 0.5000 0.5000 0.5000  12 Os 3.46
2 Os 0.0000 0.5000 0.0000  2 Ta 2.45
3 Os 0.0000 0.0000 0.5000  2 Ta 2.45
4 Os 0.5000 0.0000 0.0000  2 Ta 2.45
5 Ta 0.0000 0.0000 0.0000  6 Os 2.45

## Properties
Fermi-level density of states in states/eV/f.u.: 5.203
Energy above the most stable polymorph in this dataset in meV per atom: 0
Total DFT energy (no corrections) in eV per atom: -7.32
SG: Pm-3m



2.
The following is a DFT calculation (PBE) of Ba3Li8Ca after structural relaxation.

Unit cell a=6.5285 b=6.5285 c=10.5644 alpha=90.00 beta=90.00 gamma=120.00
Closest atoms and distances in Å follow each position.
Element x y z (fractional)
1 Ba 0.6667 0.3333 0.4452  12 Li 3.69-3.82, 3 Ca 3.96, 1 Ba 4.10
2 Ba 0.6667 0.3333 0.0572  12 Li 3.81-3.89, 4 Ba 4.00-4.10
3 Ba 0.0000 0.0000 0.9315  12 Li 3.83-3.92, 1 Ca 3.92, 3 Ba 4.00
4 Li 0.3333 0.6667 0.5040  6 Li 3.10-3.22
5 Li 0.3333 0.6667 0.0050  6 Li 3.26-3.32
6 Li 0.4938 0.9875 0.7420  6 Li 3.10-3.39
7 Li 0.4938 0.5062 0.7420  6 Li 3.10-3.39
8 Li 0.0125 0.5062 0.7420  6 Li 3.10-3.39
9 Li 0.1669 0.3338 0.2569  6 Li 3.22-3.27
10 Li 0.1669 0.8331 0.2569  6 Li 3.22-3.27
11 Li 0.6662 0.8331 0.2569  6 Li 3.22-3.27
12 Ca 0.0000 0.0000 0.5606  12 Li 3.72-3.82, 4 Ba 3.92-3.96

## Properties
Fermi-level density of states in states/eV/f.u.: 10.277
Total DFT energy (no corrections) in eV per atom: -1.90
SG: P3m1



3.
The following is a DFT calculation (PBE) of Cu3PdAu4 after structural relaxation.

Unit cell a=4.0466 b=4.0484 c=8.1063 alpha=75.56 beta=104.45 gamma=90.00
Closest atoms and distances in Å follow each position.
Element x y z (fractional)
1 Cu 0.0000 0.5000 0.0000  8 Au 2.82, 4 Pd 2.86
2 Cu 0.2504 0.2496 0.5008  8 Au 2.72-2.73, 4 Cu 2.86
3 Cu 0.7496 0.7504 0.4992  8 Au 2.72-2.73, 4 Cu 2.86
4 Pd 0.5000 0.0000 0.0000  8 Au 2.82, 4 Cu 2.86
5 Au 0.6297 0.3703 0.2594  6 Cu 2.72-2.82, 2 Pd 2.82, 4 Au 2.86
6 Au 0.3703 0.6297 0.7406  6 Cu 2.72-2.82, 2 Pd 2.82, 4 Au 2.86
7 Au 0.8703 0.1298 0.7406  6 Cu 2.72-2.82, 2 Pd 2.82, 4 Au 2.86
8 Au 0.1297 0.8702 0.2594  6 Cu 2.72-2.82, 2 Pd 2.82, 4 Au 2.86

## Properties
Fermi-level density of states in states/eV/f.u.: 2.291
Energy above the most stable polymorph in this dataset in meV per atom: 0
Total DFT energy (no corrections) in eV per atom: -3.89
SG: I4/mmm



4.
The following is a DFT calculation (PBE) of PrTm3Rh4 after structural relaxation.

Unit cell a=4.8348 b=4.8348 c=8.4449 alpha=73.37 beta=73.37 gamma=60.00
Closest atoms and distances in Å follow each position.
Element x y z (fractional)
1 Pr 0.0000 0.0000 0.0000  8 Rh 3.00-3.05
2 Tm 0.2475 0.2475 0.2575  8 Rh 2.87-3.14
3 Tm 0.7525 0.7525 0.7425  8 Rh 2.87-3.14
4 Tm 0.5000 0.5000 0.5000  8 Rh 2.90-2.94
5 Rh 0.8725 0.8725 0.3826  7 Tm 2.87-2.96, 1 Pr 3.05
6 Rh 0.3788 0.3788 0.8637  5 Tm 2.90-3.14, 3 Pr 3.00
7 Rh 0.1275 0.1275 0.6174  7 Tm 2.87-2.96, 1 Pr 3.05
8 Rh 0.6212 0.6212 0.1363  5 Tm 2.90-3.14, 3 Pr 3.00

## Properties
Fermi-level density of states in states/eV/f.u.: 3.663
Total DFT energy (no corrections) in eV per atom: -6.81
SG: R-3m



5.
The following is a DFT calculation (PBE) of CaCdSiHg after structural relaxation.

Unit cell a=5.0647 b=5.0647 c=5.0647 alpha=60.00 beta=60.00 gamma=60.00
Closest atoms and distances in Å follow each position.
Element x y z (fractional)
1 Ca 0.2500 0.2500 0.2500  4 Hg 3.10, 4 Si 3.10
2 Si 0.5000 0.5000 0.5000  4 Ca 3.10, 4 Cd 3.10
3 Hg 0.0000 0.0000 0.0000  4 Cd 3.10, 4 Ca 3.10
4 Cd 0.7500 0.7500 0.7500  4 Si 3.10, 4 Hg 3.10

## Properties
Fermi-level density of states in states/eV/f.u.: 0.466
Total DFT energy (no corrections) in eV per atom: -2.31
Raw formation energy in eV per atom: -0.152
SG: F-43m



6.
The following is a DFT calculation (PBE) of KBaAs2 after structural relaxation.

Unit cell a=4.9951 b=4.9951 c=4.7297 alpha=90.00 beta=90.00 gamma=90.00
Closest atoms and distances in Å follow each position.
Element x y z (fractional)
1 As 0.0000 0.0000 0.0000  4 Ba 3.44, 4 K 3.44, 4 As 3.53
2 As 0.5000 0.5000 0.0000  4 Ba 3.44, 4 K 3.44, 4 As 3.53
3 Ba 0.5000 0.0000 0.5000  8 As 3.44, 4 K 3.53
4 K 0.0000 0.5000 0.5000  8 As 3.44, 4 Ba 3.53

## Properties
Fermi-level density of states in states/eV/f.u.: 1.922
Energy above the most stable polymorph in this dataset in meV per atom: 218
Total DFT energy (no corrections) in eV per atom: -3.55
SG: P4/mmm



7.
The following is a DFT calculation (PBE) of PuHfAu2 after structural relaxation.

Unit cell a=4.9838 b=4.9838 c=4.9838 alpha=60.00 beta=60.00 gamma=60.00
Closest atoms and distances in Å follow each position.
Element x y z (fractional)
1 Hf 0.0000 0.0000 0.0000  8 Au 3.05
2 Au 0.2500 0.2500 0.2500  4 Hf 3.05, 4 Pu 3.05
3 Au 0.7500 0.7500 0.7500  4 Pu 3.05, 4 Hf 3.05
4 Pu 0.5000 0.5000 0.5000  8 Au 3.05

## Properties
Fermi-level density of states in states/eV/f.u.: 10.591
Energy above the most stable polymorph in this dataset in meV per atom: 120
Total DFT energy (no corrections) in eV per atom: -8.01
SG: Fm-3m



8.
The following is a DFT calculation (PBE) of K2Hg3OsO6 after structural relaxation.

Unit cell a=6.5485 b=6.5485 c=6.2781 alpha=99.87 beta=99.87 gamma=123.11
Closest atoms and distances in Å follow each position.
Element x y z (fractional)
1 K 0.3269 0.6731 0.0000  6 O 2.70-2.79
2 K 0.6731 0.3269 0.0000  6 O 2.70-2.79
3 Hg 0.1427 0.8573 0.5000  4 O 2.55-2.56
4 Hg 0.8573 0.1427 0.5000  4 O 2.55-2.56
5 Hg 0.5000 0.5000 0.5000  4 O 2.54
6 Os 0.0000 0.0000 0.0000  6 O 1.91-1.93
7 O 0.9293 0.6964 0.7975  1 Os 1.93
8 O 0.8046 0.8046 0.1746  1 Os 1.91
9 O 0.0707 0.3036 0.2025  1 Os 1.93
10 O 0.6964 0.9293 0.7975  1 Os 1.93
11 O 0.1954 0.1954 0.8254  1 Os 1.91
12 O 0.3036 0.0707 0.2025  1 Os 1.93

## Properties
Fermi-level density of states in states/eV/f.u.: 4.299
Total DFT energy (no corrections) in eV per atom: -4.49
Raw formation energy in eV per atom: -0.816
SG: C2/m



Number 1: magnetic moment 3.2 μB/f.u., ρ 11.2 g/cm³. Number 2: magnetic moment 0.0 μB/f.u., ρ 2.2 g/cm³. Number 3: magnetic moment 0.0 μB/f.u., ρ 14.5 g/cm³. Number 4: magnetic moment 0.0 μB/f.u., ρ 10.9 g/cm³. Number 5: magnetic moment 0.0 μB/f.u., ρ 6.9 g/cm³. Number 6: magnetic moment 0.0 μB/f.u., ρ 4.6 g/cm³. Number 7: magnetic moment 6.1 μB/f.u., ρ 15.5 g/cm³. Number 8: magnetic moment 0.0 μB/f.u., ρ 7.6 g/cm³.